[1]
## ScInAgSn (GGA-PBE)

Data for an optimized crystal structure of ScInAgSn.

Lattice parameters (Å, degrees): 4.252 4.651 4.365 90.00 90.00 90.00
Sites, in units of the cell vectors:
Ag 0.000 0.000 0.000
Sc 0.000 0.500 0.500
In 0.500 0.000 0.500
Sn 0.500 0.500 0.000

* raw total energy: -4.329 eV per atom
* DFT formation energy: -0.3484 eV/atom

=====

[2]
## Sr2HfP2 (GGA-PBE)

Data for an optimized crystal structure of Sr2HfP2.

Lattice parameters (Å, degrees): 7.466 7.466 4.406 90.00 90.00 90.00
Sites, in units of the cell vectors:
Sr 0.147 0.647 0.500
Sr 0.353 0.147 0.500
P 0.170 0.330 0.000
Sr 0.853 0.353 0.500
P 0.670 0.170 0.000
P 0.330 0.830 0.000
P 0.830 0.670 0.000
Hf 0.500 0.500 0.000
Hf 0.000 0.000 0.000
Sr 0.647 0.853 0.500

* raw total energy: -5.614 eV per atom
* DFT formation energy: -0.7871 eV/atom

=====

[3]
## NdSm10Er4 (GGA-PBE)

Data for an optimized crystal structure of NdSm10Er4.

Lattice parameters (Å, degrees): 8.711 8.711 8.711 111.81 111.81 104.90
Sites, in units of the cell vectors:
Sm 0.542 0.443 0.672
Sm 0.458 0.557 0.328
Er 0.936 0.664 0.600
Er 0.064 0.336 0.400
Nd 0.000 0.000 0.000
Sm 0.443 0.771 0.900
Sm 0.129 0.458 0.900
Sm 0.250 0.750 0.500
Sm 0.557 0.229 0.100
Sm 0.750 0.250 0.500
Er 0.336 0.936 0.271
Sm 0.229 0.129 0.672
Sm 0.871 0.542 0.100
Sm 0.771 0.871 0.328
Er 0.664 0.064 0.729

* raw total energy: -4.368 eV per atom
* DFT formation energy: 0.3127 eV/atom

=====

[4]
## Cs2CdAs2 (GGA-PBE)

Data for an optimized crystal structure of Cs2CdAs2.

Lattice parameters (Å, degrees): 9.295 9.295 4.949 90.00 90.00 90.00
Sites, in units of the cell vectors:
Cd 0.500 0.500 0.000
As 0.412 0.088 0.000
Cs 0.199 0.301 0.500
Cd 0.000 0.000 0.000
Cs 0.699 0.199 0.500
As 0.088 0.588 0.000
As 0.912 0.412 0.000
Cs 0.301 0.801 0.500
As 0.588 0.912 0.000
Cs 0.801 0.699 0.500

* raw total energy: -2.560 eV per atom
* DFT formation energy: -0.1755 eV/atom

=====

[5]
## LaAs2Ru (GGA-PBE)

Data for an optimized crystal structure of LaAs2Ru.

Lattice parameters (Å, degrees): 7.016 4.551 4.024 90.00 55.00 121.15
Sites, in units of the cell vectors:
La 0.000 0.500 0.500
As 0.000 0.000 0.000
Ru 0.500 0.500 0.000
As 0.500 0.000 0.500

* raw total energy: -6.157 eV per atom
* DFT formation energy: -0.2811 eV/atom

=====

[6]
## ScFeTc2 (GGA-PBE)

Data for an optimized crystal structure of ScFeTc2.

Lattice parameters (Å, degrees): 5.187 5.187 4.425 64.72 64.72 34.38
Each line ends with the local moment (μB).
Sites, in units of the cell vectors:
Tc 0.485 0.485 0.515  0.05
Fe 0.750 0.750 0.750  1.86
Tc 0.015 0.015 0.985  0.05
Sc 0.250 0.250 0.250  -0.18

* raw total energy: -8.862 eV per atom
* DFT formation energy: 0.0197 eV/atom

=====

[7]
## FeNiTe2 (GGA-PBE)

Data for an optimized crystal structure of FeNiTe2.

Lattice parameters (Å, degrees): 3.643 3.643 7.037 74.94 74.94 60.16
Each line ends with the local moment (μB).
Sites, in units of the cell vectors:
Ni 0.250 0.250 0.250  -0.40
Te 0.997 0.997 0.010  -0.02
Te 0.503 0.503 0.490  -0.02
Fe 0.750 0.750 0.750  2.66

* raw total energy: -5.034 eV per atom
* formation energy without anion corrections: 0.39 eV per formula unit

=====

[8]
## Pa4SeO12 (GGA-PBE)

Data for an optimized crystal structure of Pa4SeO12.

Lattice parameters (Å, degrees): 7.251 7.251 7.251 110.28 110.39 107.76
Sites, in units of the cell vectors:
Se 0.000 0.500 0.500
O 0.830 0.671 0.502
O 0.542 0.804 0.738
O 0.700 0.469 0.768
O 0.458 0.196 0.262
O 0.170 0.671 0.841
Pa 0.000 0.500 0.000
O 0.700 0.932 0.232
O 0.066 0.804 0.262
O 0.170 0.329 0.498
Pa 0.000 0.000 0.500
Pa 0.500 0.000 0.000
O 0.934 0.196 0.738
O 0.300 0.068 0.768
O 0.830 0.329 0.159
Pa 0.500 0.500 0.500
O 0.300 0.531 0.232

* raw total energy: -8.846 eV per atom
* formation energy without anion corrections: -49.42 eV per formula unit

=====

Q: Among the records above, which one has the highest raw total energy?
A: Cs2CdAs2